# Li2Mn3NiO8 | Alexandria via LeMat-Bulk | PBE+U | optimized geometry
data_Li2Mn3NiO8
_cell_length_a 5.838
_cell_length_b 5.838
_cell_length_c 5.929
_cell_angle_alpha 61.30
_cell_angle_beta 61.30
_cell_angle_gamma 60.10
_symmetry_space_group_name_H-M 'P 1'
_symmetry_Int_Tables_number 1
_symmetry_space_group_name_Hall 'P 1'
loop_
_atom_site_label
_atom_site_type_symbol
_atom_site_fract_x
_atom_site_fract_y
_atom_site_fract_z
_atom_site_occupancy
Li1 Li 0.000 0.000 0.500 1
Li2 Li 0.500 0.500 0.500 1
Mn1 Mn 0.500 0.000 0.000 1
Mn2 Mn 0.500 0.500 0.000 1
Mn3 Mn 0.000 0.500 0.000 1
Ni1 Ni 0.000 0.000 0.000 1
O1 O 0.715 0.243 0.788 1
O2 O 0.243 0.715 0.788 1
O3 O 0.245 0.245 0.795 1
O4 O 0.735 0.735 0.795 1
O5 O 0.265 0.265 0.205 1
O6 O 0.755 0.755 0.205 1
O7 O 0.757 0.285 0.212 1
O8 O 0.285 0.757 0.212 1
# **Energy above the most stable polymorph in this dataset**: 6.9 kJ per mole of atoms
# **Crystal system**: monoclinic
# **Space-group type**: C2/m, No. 12
# **E**: -6.39 eV/atom